Record 1
The following is a DFT calculation (PBE-GGA) of a relaxed KSc2CuSe4 crystal.

Lattice parameters (Å, degrees): 7.101 7.101 13.959 90.00 90.00 147.65
Fractional positions:
K: 0.118 0.882 0.750
K: 0.882 0.118 0.250
Sc: 0.369 0.631 0.567
Sc: 0.369 0.631 0.933
Sc: 0.631 0.369 0.067
Sc: 0.631 0.369 0.433
Cu: 0.163 0.837 0.250
Cu: 0.837 0.163 0.750
Se: 0.000 0.000 0.000
Se: 0.000 0.000 0.500
Se: 0.261 0.739 0.105
Se: 0.261 0.739 0.395
Se: 0.438 0.562 0.750
Se: 0.562 0.438 0.250
Se: 0.739 0.261 0.605
Se: 0.739 0.261 0.895

Mass density = 4.48 g cm⁻³
E_form (uncorrected) = -1359 meV per atom
Size of the total moment = 0.000 μB/atom



Record 2
The following is a DFT calculation (PBE-GGA) of a relaxed VNi6Rh2 crystal.

Lattice parameters (Å, degrees): 5.771 5.771 5.765 107.70 107.70 36.04
Fractional positions:
V: 0.000 0.000 0.000
Ni: 0.117 0.117 0.678
Ni: 0.225 0.225 0.332
Ni: 0.330 0.330 0.999
Ni: 0.670 0.670 0.001
Ni: 0.775 0.775 0.668
Ni: 0.883 0.883 0.322
Rh: 0.445 0.445 0.675
Rh: 0.555 0.555 0.325

Mass density = 9.45 g cm⁻³
Excess energy over the best structure of this formula in the dataset = 0 meV per atom
E_form = -119 meV per atom
Size of the total moment = 0.265 μB/atom



Record 3
The following is a DFT calculation (PBE-GGA) of a relaxed CaErCdIn crystal.

Lattice parameters (Å, degrees): 5.332 5.332 5.332 60.00 60.00 60.00
Fractional positions:
Ca: 0.000 0.000 0.000
Er: 0.500 0.500 0.500
Cd: 0.750 0.750 0.750
In: 0.250 0.250 0.250

Mass density = 6.73 g cm⁻³
E_form = -409 meV per atom
Size of the total moment = 0.000 μB/atom



Record 4
The following is a DFT calculation (PBE-GGA) of a relaxed Ho2ErAu3 crystal.

Lattice parameters (Å, degrees): 5.056 5.056 6.221 90.00 90.00 120.00
Fractional positions:
Ho: 0.333 0.667 0.167
Ho: 0.667 0.333 0.833
Er: 0.000 0.000 0.500
Au: 0.000 0.000 0.000
Au: 0.333 0.667 0.665
Au: 0.667 0.333 0.335

Mass density = 13.12 g cm⁻³
Excess energy over the best structure of this formula in the dataset = 2 meV per atom
E_form = -877 meV per atom
Size of the total moment = 0.000 μB/atom



Record 5
The following is a DFT calculation (PBE-GGA) of a relaxed Ce2AgF crystal.

Lattice parameters (Å, degrees): 10.354 10.354 10.354 17.19 17.19 17.19
Fractional positions:
Ce: 0.101 0.101 0.101
Ce: 0.899 0.899 0.899
Ag: 0.000 0.000 0.000
F: 0.500 0.500 0.500

Mass density = 7.99 g cm⁻³
E_form (uncorrected) = -850 meV per atom
Size of the total moment = 0.380 μB/atom



Record 6
The following is a DFT calculation (PBE-GGA) of a relaxed CeInIrRu crystal.

Lattice parameters (Å, degrees): 4.755 4.755 4.755 60.00 60.00 60.00
Fractional positions:
Ce: 0.000 0.000 0.000
In: 0.500 0.500 0.500
Ir: 0.250 0.250 0.250
Ru: 0.750 0.750 0.750

Mass density = 11.97 g cm⁻³
E_form = -353 meV per atom
Size of the total moment = 0.000 μB/atom



Record 7
The following is a DFT calculation (PBE-GGA) of a relaxed NaTePO6 crystal.

Lattice parameters (Å, degrees): 4.904 4.904 5.279 90.00 90.00 120.00
Fractional positions:
Na: 0.000 0.000 0.000
Te: 0.333 0.667 0.500
P: 0.667 0.333 0.500
O: 0.394 0.033 0.694
O: 0.394 0.361 0.306
O: 0.639 0.033 0.306
O: 0.639 0.606 0.694
O: 0.967 0.361 0.694
O: 0.967 0.606 0.306

Mass density = 4.19 g cm⁻³
E_form (uncorrected) = -1511 meV per atom
Size of the total moment = 0.000 μB/atom



Record 8
The following is a DFT calculation (PBE-GGA) of a relaxed GdNi2 crystal.

Lattice parameters (Å, degrees): 5.072 5.072 5.072 141.71 141.71 55.27
Fractional positions:
Gd: 0.000 0.000 0.000
Ni: 0.306 0.306 0.000
Ni: 0.694 0.694 0.000

Mass density = 9.17 g cm⁻³
E_form = -120 meV per atom
Size of the total moment = 2.409 μB/atom



Record 9
The following is a DFT calculation (PBE-GGA) of a relaxed PuCu2Pb crystal.

Lattice parameters (Å, degrees): 3.563 3.563 6.611 90.00 90.00 90.00
Fractional positions:
Pu: 0.000 0.000 0.000
Cu: 0.500 0.500 0.244
Cu: 0.500 0.500 0.756
Pb: 0.000 0.000 0.500

Mass density = 11.44 g cm⁻³
E_form = 183 meV per atom
Size of the total moment = 1.401 μB/atom



Record 10
The following is a DFT calculation (PBE-GGA) of a relaxed Ho6CdHg6 crystal.

Lattice parameters (Å, degrees): 6.216 6.216 10.435 90.00 90.00 120.00
Fractional positions:
Ho: 0.000 0.000 0.173
Ho: 0.000 0.000 0.827
Ho: 0.333 0.667 0.000
Ho: 0.333 0.667 0.500
Ho: 0.667 0.333 0.000
Ho: 0.667 0.333 0.500
Cd: 0.000 0.000 0.500
Hg: 0.000 0.500 0.252
Hg: 0.000 0.500 0.748
Hg: 0.500 0.000 0.252
Hg: 0.500 0.000 0.748
Hg: 0.500 0.500 0.252
Hg: 0.500 0.500 0.748

Mass density = 10.96 g cm⁻³
E_form = -241 meV per atom
Size of the total moment = 0.101 μB/atom



Record 11
The following is a DFT calculation (PBE-GGA) of a relaxed BaEuMgIn crystal.

Lattice parameters (Å, degrees): 5.857 5.857 5.857 60.00 60.00 60.00
Fractional positions:
Ba: 0.000 0.000 0.000
Eu: 0.500 0.500 0.500
Mg: 0.750 0.750 0.750
In: 0.250 0.250 0.250

Mass density = 5.01 g cm⁻³
E_form = -239 meV per atom
Size of the total moment = 1.769 μB/atom



Record 12
The following is a DFT calculation (PBE-GGA) of a relaxed CuTcHRu2 crystal.

Lattice parameters (Å, degrees): 4.496 4.496 4.542 90.00 90.00 90.00
Fractional positions:
Cu: 0.000 0.000 0.000
Tc: 0.000 0.000 0.500
H: 0.500 0.500 0.500
Ru: 0.000 0.500 0.000
Ru: 0.500 0.000 0.000

Mass density = 6.60 g cm⁻³
Excess energy over the best structure of this formula in the dataset = 2094 meV per atom
Size of the total moment = 0.986 μB/atom